Record 1
## AlBNF2 (PBE)

Data for an optimized crystal structure of AlBNF2.

Output
* M_tot: 0.00 μB/cell
* formation energy from raw total energies: -874 meV per atom

Lattice parameters (Å, degrees): 4.433 4.433 2.676 90.00 90.00 90.00
Sites, in units of the cell vectors:
Al 0.000 0.000 0.000
B 0.500 0.500 0.500
N 0.500 0.500 0.000
F 0.000 0.500 0.500
F 0.500 0.000 0.500

Record 2
## Tb6ErTm2Sc3 (PBE)

Data for an optimized crystal structure of Tb6ErTm2Sc3.

Output
* M_tot: 0.00 μB/cell
* DFT formation energy: 0.042 eV per atom

Lattice parameters (Å, degrees): 6.030 6.030 11.397 95.05 95.05 119.96
Sites, in units of the cell vectors:
Tb 0.086 0.419 0.758
Tb 0.247 0.247 0.242
Tb 0.419 0.086 0.758
Tb 0.581 0.914 0.242
Tb 0.753 0.753 0.758
Tb 0.914 0.581 0.242
Er 0.000 0.000 0.500
Tm 0.333 0.667 0.500
Tm 0.667 0.333 0.500
Sc 0.167 0.833 0.000
Sc 0.500 0.500 0.000
Sc 0.833 0.167 0.000

Record 3
## SrSeOF2 (PBE)

Data for an optimized crystal structure of SrSeOF2.

Output
* M_tot: 0.00 μB/cell
* formation energy from raw total energies: -1638 meV per atom

Lattice parameters (Å, degrees): 4.698 4.698 3.950 90.00 90.00 90.00
Sites, in units of the cell vectors:
Sr 0.000 0.000 0.000
Se 0.500 0.500 0.500
O 0.500 0.500 0.000
F 0.000 0.500 0.500
F 0.500 0.000 0.500

Record 4
## Tl2OsRu (PBE)

Data for an optimized crystal structure of Tl2OsRu.

Output
* M_tot: 0.00 μB/cell
* DFT formation energy: 1.001 eV per atom

Lattice parameters (Å, degrees): 3.112 4.583 5.264 90.00 90.00 90.00
Sites, in units of the cell vectors:
Tl 0.000 0.000 0.000
Tl 0.500 0.000 0.500
Os 0.000 0.500 0.500
Ru 0.500 0.500 0.000

Record 5
## MnRe2WS (PBE)

Data for an optimized crystal structure of MnRe2WS.

Output
* M_tot: 0.00 μB/cell
* formation energy from raw total energies: 881 meV per atom

Lattice parameters (Å, degrees): 4.349 4.349 4.019 90.00 90.00 90.00
Sites, in units of the cell vectors:
Mn 0.000 0.000 0.000
Re 0.000 0.500 0.500
Re 0.500 0.000 0.500
W 0.500 0.500 0.000
S 0.000 0.000 0.500

Record 6
## NaNdGeO4 (PBE)

Data for an optimized crystal structure of NaNdGeO4.

Output
* M_tot: 0.00 μB/cell
* formation energy from raw total energies: -2356 meV per atom

Lattice parameters (Å, degrees): 5.577 5.577 7.406 90.00 90.00 115.17
Sites, in units of the cell vectors:
Na 0.176 0.824 0.750
Na 0.824 0.176 0.250
Nd 0.500 0.500 0.000
Nd 0.500 0.500 0.500
Ge 0.152 0.848 0.250
Ge 0.848 0.152 0.750
O 0.206 0.276 0.750
O 0.256 0.744 0.054
O 0.256 0.744 0.446
O 0.276 0.206 0.250
O 0.724 0.794 0.750
O 0.744 0.256 0.554
O 0.744 0.256 0.946
O 0.794 0.724 0.250

Record 7
## NbVZnCo (PBE)

Data for an optimized crystal structure of NbVZnCo.

Output
* M_tot: 2.99 μB/cell
* DFT formation energy: 0.010 eV per atom

Lattice parameters (Å, degrees): 4.313 4.313 4.313 60.00 60.00 60.00
Sites, in units of the cell vectors:
Nb 0.000 0.000 0.000
V 0.750 0.750 0.750
Zn 0.500 0.500 0.500
Co 0.250 0.250 0.250

Record 8
## SrCa2Tc (PBE)

Data for an optimized crystal structure of SrCa2Tc.

Output
* M_tot: 1.14 μB/cell
* DFT formation energy: 0.681 eV per atom

Lattice parameters (Å, degrees): 4.898 4.898 5.012 90.00 90.00 90.00
Sites, in units of the cell vectors:
Sr 0.000 0.000 0.000
Ca 0.000 0.500 0.500
Ca 0.500 0.000 0.500
Tc 0.500 0.500 0.000

Record 9
## CsSr2LaCl8 (PBE)

Data for an optimized crystal structure of CsSr2LaCl8.

Output
* M_tot: 0.00 μB/cell
* formation energy from raw total energies: -2336 meV per atom

Lattice parameters (Å, degrees): 6.825 9.358 6.930 90.00 90.38 90.00
Sites, in units of the cell vectors:
Cs 0.000 0.000 0.000
Sr 0.500 0.248 0.500
Sr 0.500 0.752 0.500
La 0.000 0.500 0.000
Cl 0.237 0.294 0.171
Cl 0.237 0.706 0.171
Cl 0.269 0.500 0.679
Cl 0.280 0.000 0.614
Cl 0.720 0.000 0.386
Cl 0.731 0.500 0.321
Cl 0.763 0.294 0.829
Cl 0.763 0.706 0.829

Record 10
## Cu2MoW (PBE)

Data for an optimized crystal structure of Cu2MoW.

Output
* M_tot: 0.00 μB/cell
* DFT formation energy: 0.289 eV per atom

Lattice parameters (Å, degrees): 3.698 3.698 4.108 90.00 90.00 90.00
Sites, in units of the cell vectors:
Cu 0.000 0.500 0.000
Cu 0.500 0.000 0.000
Mo 0.000 0.000 0.500
W 0.500 0.500 0.500

Record 11
## CeNd12Dy6 (PBE)

Data for an optimized crystal structure of CeNd12Dy6.

Output
* M_tot: 1.24 μB/cell
* DFT formation energy: 0.029 eV per atom

Lattice parameters (Å, degrees): 9.616 9.616 9.616 110.94 110.94 110.94
Sites, in units of the cell vectors:
Ce 0.000 0.000 0.000
Nd 0.057 0.580 0.372
Nd 0.104 0.157 0.739
Nd 0.157 0.739 0.104
Nd 0.261 0.896 0.843
Nd 0.372 0.057 0.580
Nd 0.420 0.628 0.943
Nd 0.580 0.372 0.057
Nd 0.628 0.943 0.420
Nd 0.739 0.104 0.157
Nd 0.843 0.261 0.896
Nd 0.896 0.843 0.261
Nd 0.943 0.420 0.628
Dy 0.213 0.316 0.471
Dy 0.316 0.471 0.213
Dy 0.471 0.213 0.316
Dy 0.529 0.787 0.684
Dy 0.684 0.529 0.787
Dy 0.787 0.684 0.529

Record 12
## TbCe3Pm2Se6 (PBE)

Data for an optimized crystal structure of TbCe3Pm2Se6.

Output
* M_tot: 2.95 μB/cell
* formation energy from raw total energies: -1826 meV per atom

Lattice parameters (Å, degrees): 7.230 7.230 7.278 99.54 99.54 120.04
Sites, in units of the cell vectors:
Tb 0.000 0.000 0.000
Ce 0.169 0.831 0.500
Ce 0.500 0.500 0.500
Ce 0.831 0.169 0.500
Pm 0.334 0.666 0.000
Pm 0.666 0.334 0.000
Se 0.082 0.410 0.245
Se 0.245 0.245 0.752
Se 0.410 0.082 0.245
Se 0.590 0.918 0.755
Se 0.755 0.755 0.248
Se 0.918 0.590 0.755

Record 13
## HfCr6Ga6 (PBE)

Data for an optimized crystal structure of HfCr6Ga6.

Output
* M_tot: 0.00 μB/cell
* DFT formation energy: -0.119 eV per atom

Lattice parameters (Å, degrees): 6.577 6.577 6.577 135.15 98.38 98.36
Sites, in units of the cell vectors:
Hf 0.000 0.000 0.000
Cr 0.000 0.000 0.500
Cr 0.000 0.500 0.000
Cr 0.244 0.744 0.500
Cr 0.500 0.000 0.000
Cr 0.500 0.500 0.500
Cr 0.756 0.256 0.500
Ga 0.176 0.500 0.676
Ga 0.322 0.322 0.000
Ga 0.341 0.000 0.341
Ga 0.659 0.000 0.659
Ga 0.678 0.678 0.000
Ga 0.824 0.500 0.324

Record 14
## YAsI2N (PBE)

Data for an optimized crystal structure of YAsI2N.

Output
* M_tot: 2.09 μB/cell
* formation energy from raw total energies: 288 meV per atom

Lattice parameters (Å, degrees): 6.206 6.206 4.128 90.00 90.00 90.00
Sites, in units of the cell vectors:
Y 0.000 0.000 0.000
As 0.500 0.500 0.500
I 0.000 0.500 0.000
I 0.500 0.000 0.000
N 0.000 0.000 0.500

Record 15
## AlPPt2 (PBE)

Data for an optimized crystal structure of AlPPt2.

Output
* M_tot: 0.00 μB/cell
* DFT formation energy: -0.394 eV per atom

Lattice parameters (Å, degrees): 8.027 8.027 8.027 21.43 21.43 21.43
Sites, in units of the cell vectors:
Al 0.000 0.000 0.000
P 0.500 0.500 0.500
Pt 0.250 0.250 0.250
Pt 0.750 0.750 0.750

Record 16
## RbNiSe3 (PBE)

Data for an optimized crystal structure of RbNiSe3.

Output
* M_tot: 0.00 μB/cell
* formation energy from raw total energies: -196 meV per atom

Lattice parameters (Å, degrees): 4.917 4.917 4.917 90.00 90.00 90.00
Sites, in units of the cell vectors:
Rb 0.000 0.000 0.000
Ni 0.500 0.500 0.500
Se 0.000 0.500 0.500
Se 0.500 0.000 0.500
Se 0.500 0.500 0.000

Record 17
## ZnRe2Se (PBE)

Data for an optimized crystal structure of ZnRe2Se.

Output
* M_tot: 0.00 μB/cell
* formation energy from raw total energies: 708 meV per atom

Lattice parameters (Å, degrees): 2.942 4.566 4.668 90.00 90.00 90.00
Sites, in units of the cell vectors:
Zn 0.000 0.000 0.000
Re 0.000 0.500 0.500
Re 0.500 0.500 0.000
Se 0.500 0.000 0.500

Record 18
## LuMn2 (PBE)

Data for an optimized crystal structure of LuMn2.

Output
* M_tot: 1.38 μB/cell
* DFT formation energy: 0.019 eV per atom

Lattice parameters (Å, degrees): 5.034 5.034 5.034 60.00 60.00 60.00
Sites, in units of the cell vectors:
Lu 0.125 0.125 0.125
Lu 0.875 0.875 0.875
Mn 0.000 0.500 0.500
Mn 0.500 0.000 0.500
Mn 0.500 0.500 0.000
Mn 0.500 0.500 0.500

Record 19
## Al3IF (PBE)

Data for an optimized crystal structure of Al3IF.

Output
* M_tot: 0.00 μB/cell
* formation energy from raw total energies: -90 meV per atom

Lattice parameters (Å, degrees): 4.964 4.964 4.964 90.00 90.00 90.00
Sites, in units of the cell vectors:
Al 0.000 0.000 0.500
Al 0.000 0.500 0.000
Al 0.500 0.000 0.000
I 0.500 0.500 0.500
F 0.000 0.000 0.000

Record 20
## Tb11Dy4Sc9 (PBE)

Data for an optimized crystal structure of Tb11Dy4Sc9.

Output
* M_tot: 0.00 μB/cell
* DFT formation energy: 0.076 eV per atom

Lattice parameters (Å, degrees): 14.978 14.978 3.493 90.00 90.00 116.33
Sites, in units of the cell vectors:
Tb 0.000 0.000 0.000
Tb 0.034 0.406 0.000
Tb 0.188 0.812 0.000
Tb 0.210 0.210 0.000
Tb 0.377 0.623 0.000
Tb 0.406 0.034 0.000
Tb 0.594 0.966 0.000
Tb 0.623 0.377 0.000
Tb 0.790 0.790 0.000
Tb 0.812 0.188 0.000
Tb 0.966 0.594 0.000
Dy 0.239 0.417 0.500
Dy 0.417 0.239 0.500
Dy 0.583 0.761 0.500
Dy 0.761 0.583 0.500
Sc 0.016 0.203 0.500
Sc 0.177 0.614 0.500
Sc 0.203 0.016 0.500
Sc 0.386 0.823 0.500
Sc 0.500 0.500 0.500
Sc 0.614 0.177 0.500
Sc 0.797 0.984 0.500
Sc 0.823 0.386 0.500
Sc 0.984 0.797 0.500

Record 21
## DyMn5Al7 (PBE)

Data for an optimized crystal structure of DyMn5Al7.

Output
* M_tot: 4.19 μB/cell
* DFT formation energy: -0.300 eV per atom

Lattice parameters (Å, degrees): 6.650 6.650 6.650 136.19 97.67 98.33
Sites, in units of the cell vectors:
Dy 0.000 0.000 0.000
Mn 0.229 0.729 0.500
Mn 0.493 0.003 0.011
Mn 0.493 0.482 0.490
Mn 0.993 0.003 0.510
Mn 0.993 0.482 0.989
Al 0.211 0.500 0.710
Al 0.328 0.986 0.342
Al 0.335 0.335 0.000
Al 0.644 0.986 0.658
Al 0.657 0.657 0.000
Al 0.770 0.270 0.500
Al 0.790 0.500 0.290

Record 22
## Si2HgBr (PBE)

Data for an optimized crystal structure of Si2HgBr.

Output
* M_tot: 0.00 μB/cell
* formation energy from raw total energies: 583 meV per atom

Lattice parameters (Å, degrees): 3.250 4.798 5.475 90.00 90.00 90.00
Sites, in units of the cell vectors:
Si 0.000 0.000 0.000
Si 0.500 0.000 0.500
Hg 0.000 0.500 0.500
Br 0.500 0.500 0.000

Record 23
## AlGa2B (PBE)

Data for an optimized crystal structure of AlGa2B.

Output
* M_tot: 0.00 μB/cell
* DFT formation energy: 0.503 eV per atom

Lattice parameters (Å, degrees): 6.055 6.055 6.055 122.25 122.25 86.15
Sites, in units of the cell vectors:
Al 0.000 0.000 0.000
Al 0.750 0.250 0.500
Ga 0.218 0.625 0.093
Ga 0.375 0.468 0.593
Ga 0.532 0.125 0.907
Ga 0.875 0.782 0.407
B 0.250 0.750 0.500
B 0.500 0.500 0.000

Record 24
## MgAl2SiO6 (PBE)

Data for an optimized crystal structure of MgAl2SiO6.

Output
* M_tot: 0.00 μB/cell
* formation energy from raw total energies: -2825 meV per atom

Lattice parameters (Å, degrees): 6.758 6.758 5.455 105.94 105.94 99.21
Sites, in units of the cell vectors:
Mg 0.101 0.899 0.750
Mg 0.899 0.101 0.250
Al 0.286 0.449 0.831
Al 0.449 0.286 0.331
Al 0.551 0.714 0.669
Al 0.714 0.551 0.169
Si 0.181 0.819 0.250
Si 0.819 0.181 0.750
O 0.045 0.207 0.682
O 0.155 0.651 0.955
O 0.207 0.045 0.182
O 0.317 0.442 0.517
O 0.349 0.845 0.545
O 0.442 0.317 0.017
O 0.558 0.683 0.983
O 0.651 0.155 0.455
O 0.683 0.558 0.483
O 0.793 0.955 0.818
O 0.845 0.349 0.045
O 0.955 0.793 0.318